(1)
DFT (PBE) results for an optimized crystal structure of RbSn2Au2.

The structure in extended XYZ format:
```
10
Lattice="-8.4202 0.1856 -3.2504 -0.4553 -8.9916 0.6659 -1.1342 0.2762 2.9539" Properties=species:S:1:pos:R:3 pbc="T T T"
Au -2.1878 -5.7399 1.4042
Au -6.4826 -7.3202 -0.0971
Au -7.8218 -2.7899 -1.0349
Au -3.5270 -1.2096 0.4664
Sn -3.4754 -7.7181 -0.6128
Sn -7.5800 -5.5406 -2.3924
Sn -5.4001 -1.0878 -1.9717
Sn -1.2955 -3.2654 -0.1921
Rb 0.0000 0.0000 0.0000
Rb -4.4377 -4.4030 -1.2923
```

E above lowest polymorph, meV per atom: 167
N(E_F), states/eV/cell: 3.7
Calculated formation energy, eV/atom: -0.11
Electronic total energy, eV/cell: -32.2

(2)
DFT (PBE) results for an optimized crystal structure of RbPPd3.

The structure in extended XYZ format:
```
10
Lattice="-0.2327 6.4240 -2.9113 -4.3212 -1.5853 -3.1526 -4.0343 1.1908 4.9311" Properties=species:S:1:pos:R:3 pbc="T T T"
Rb -4.4746 2.6330 -4.5464
Rb -4.0568 2.4671 -0.0991
P -5.6828 5.9521 0.3773
P -6.8828 0.3388 -0.0917
Pd -3.0966 5.5545 -2.9679
Pd -5.4348 -0.4544 -1.6776
Pd -3.4703 6.1159 -0.2973
Pd -5.6067 5.3321 -1.8559
Pd -6.9590 0.9588 2.1414
Pd -4.7741 1.7603 3.7355
```

E above lowest polymorph, meV per atom: 0
N(E_F), states/eV/cell: 3.3
Calculated formation energy, eV/atom: -0.29
Electronic total energy, eV/cell: -46.9

(3)
DFT (PBE) results for an optimized crystal structure of VBPt2.

The structure in extended XYZ format:
```
4
Lattice="-0.3724 -0.6418 -2.7685 2.2642 -0.1667 -1.7496 1.3699 -8.0040 0.1875" Properties=species:S:1:pos:R:3 pbc="T T T"
B 1.6308 -4.4062 -2.1653
Pt 1.1334 -5.5294 -0.3543
Pt 2.1283 -3.2830 -3.9763
V 0.0000 0.0000 0.0000
```

N(E_F), states/eV/cell: 3.5
Calculated formation energy, eV/atom: 0.21
Electronic total energy, eV/cell: -27.0

(4)
DFT (PBE) results for an optimized crystal structure of DyEr2Ni9.

The structure in extended XYZ format:
```
12
Lattice="4.9494 0.0000 0.0000 2.4747 4.2863 0.0000 2.4747 1.4288 8.0754" Properties=species:S:1:pos:R:3 pbc="T T T"
Dy 0.0000 0.0000 0.0000
Er 7.4240 4.2863 3.3725
Er 2.4747 1.4288 4.7029
Ni 7.4240 4.2863 8.0711
Ni 2.4747 1.4288 0.0043
Ni 4.9494 2.8575 4.0377
Ni 3.7068 2.1401 1.9983
Ni 6.1919 2.1401 1.9983
Ni 4.9494 4.2923 1.9983
Ni 6.1919 3.5749 6.0771
Ni 4.9494 1.4227 6.0771
Ni 3.7068 3.5749 6.0771
```

N(E_F), states/eV/cell: 15.1
Calculated formation energy, eV/atom: -0.43
Electronic total energy, eV/cell: -70.9

(5)
DFT (PBE) results for an optimized crystal structure of Dy5TmTl2.

The structure in extended XYZ format:
```
8
Lattice="3.5700 0.0000 0.0000 1.7850 8.2231 -0.4864 1.7850 2.0101 7.9884" Properties=species:S:1:pos:R:3 pbc="T T T"
Dy 1.7850 5.1166 3.7510
Dy 3.5700 5.1892 0.8030
Dy 3.5700 5.0440 6.6990
Dy 3.5700 7.9061 2.7948
Dy 3.5700 2.3271 4.7072
Tm 0.0000 0.0000 0.0000
Tl 5.3550 7.7843 5.7067
Tl 1.7850 2.4489 1.7953
```

N(E_F), states/eV/cell: 10.6
Calculated formation energy, eV/atom: -0.10
Electronic total energy, eV/cell: -33.0

(6)
DFT (PBE) results for an optimized crystal structure of La4AgOs.

The structure in extended XYZ format:
```
6
Lattice="-2.9116 -4.0303 3.6488 -6.0457 0.6058 1.0569 -3.9749 -4.0434 -2.4260" Properties=species:S:1:pos:R:3 pbc="T T T"
La -6.3071 -4.8035 2.6621
La -6.8328 -4.8100 -0.3415
La -7.8567 -2.5113 1.3806
La -4.8676 -2.8108 0.8580
Ag 0.0000 0.0000 0.0000
Os -9.6991 -5.6009 1.7097
```

E above lowest polymorph, meV per atom: 1029
N(E_F), states/eV/cell: 8.3
Calculated formation energy, eV/atom: 0.83
Electronic total energy, eV/cell: -28.8